{"formula": "Sr3MgMn2O6", "functional": "PBE+U", "state": "optimized geometry", "crystal_system": "trigonal", "magmom_total_mub_per_fu": 9.99, "energy_ev_per_cell": -75.80, "lattice": [[5.888, 0.000, 0.000], [-2.944, 5.099, 0.000], [0.000, 0.000, 6.387]], "species": ["Sr", "Sr", "Sr", "Mg", "Mn", "Mn", "O", "O", "O", "O", "O", "O"], "fractional_positions": [[0.333, 0.667, 0.616], [0.667, 0.333, 0.384], [0.000, 0.000, 0.000], [0.000, 0.000, 0.500], [0.667, 0.333, 0.843], [0.333, 0.667, 0.157], [0.670, 0.835, 0.300], [0.165, 0.330, 0.300], [0.165, 0.835, 0.300], [0.835, 0.670, 0.700], [0.330, 0.165, 0.700], [0.835, 0.165, 0.700]]}